First-principles (GGA+U) data for an optimized crystal structure of Rb3Tl3CrF8, as listed in Alexandria.

Calculated total energy in eV per atom: -4.439
Magnetization in μB/f.u.: 4.0

a = 13.5858 Å, b = 7.8705 Å, c = 7.9351 Å
α = 90.00°, β = 125.22°, γ = 90.00°
Closest atoms and distances in Å follow each position.
Space group C2/m (No. 12)
One atom of each set of equivalent atoms:
Rb  0.0000  0.0000  0.0000 (multiplicity 2)  6 F 2.77-2.86
Rb  0.2500  0.2500  0.0000 (multiplicity 4)  6 F 2.79-2.88
Tl  0.0000  0.5000  0.5000 (multiplicity 2)  6 F 2.78-2.83
Tl  0.2500  0.2500  0.5000 (multiplicity 4)  6 F 2.80-2.89
Cr  0.0000  0.0000  0.5000 (multiplicity 2)  6 F 2.05-2.26
F  0.0016  0.2027  0.3002 (multiplicity 8)  1 Cr 2.26
F  0.1846  0.0000  0.6869 (multiplicity 4)  1 Cr 2.05
F  0.2493  0.0000  0.2491 (multiplicity 4)  3 Rb 2.77-2.79, 3 Tl 2.78-2.80